Compound: Pr4TlNi2
Source: the Alexandria database
Functional: PBE-GGA
Structure: relaxed

Cell: 4.9377 4.9377 28.0765 Å, 90.00 90.00 120.00°
Space group R-3m (No. 166, hexagonal axes)
Inequivalent atoms, fractional coordinates:
1 Pr 0.0000 0.0000 0.1127 (multiplicity 6)
2 Pr 0.0000 0.0000 0.2964 (multiplicity 6)
3 Tl 0.0000 0.0000 0.5000 (multiplicity 3)
4 Ni 0.0000 0.0000 0.3995 (multiplicity 6)

Total moment = 0.00 μB/cell
ΔE_f = -0.1254 eV/atom
Density of states at the Fermi level = 15.33 states/eV/cell

=====

Compound: Pr7Tl2Ni2
Source: the Alexandria database
Functional: PBE-GGA
Structure: relaxed

Cell: 3.782 16.572 10.629 Å, 90.00 90.00 90.00°
Space group Imm2 (No. 44)
Inequivalent atoms, fractional coordinates:
1 Pr 0.000 0.000 0.000 (multiplicity 2)
2 Pr 0.000 0.130 0.435 (multiplicity 4)
3 Pr 0.000 0.316 0.627 (multiplicity 4)
4 Pr 0.000 0.349 0.284 (multiplicity 4)
5 Tl 0.000 0.000 0.677 (multiplicity 2)
6 Tl 0.000 0.500 0.759 (multiplicity 2)
7 Ni 0.000 0.237 0.941 (multiplicity 4)

Total moment = 0.00 μB/cell
ΔE_f = -0.2202 eV/atom
Density of states at the Fermi level = 25.40 states/eV/cell

=====

Compound: Pr8Tl2Ni
Source: the Alexandria database
Functional: PBE-GGA
Structure: relaxed

Cell: 19.411 5.208 7.064 Å, 90.00 103.58 90.00°
Space group C2/m (No. 12)
Inequivalent atoms, fractional coordinates:
1 Pr 0.013 0.000 0.280 (multiplicity 4)
2 Pr 0.090 0.500 0.963 (multiplicity 4)
3 Pr 0.145 0.500 0.488 (multiplicity 4)
4 Pr 0.210 0.000 0.811 (multiplicity 4)
5 Tl 0.183 0.000 0.253 (multiplicity 4)
6 Ni 0.000 0.500 0.500 (multiplicity 2)

Polymorph energy (0 for the lowest one) = 0.004 eV per atom
Total moment = 0.00 μB/cell
ΔE_f = -0.1611 eV/atom
Density of states at the Fermi level = 24.85 states/eV/cell

=====

Compound: PrTlNi
Source: the Alexandria database
Functional: PBE-GGA
Structure: relaxed

Cell: 6.685 6.685 6.685 Å, 90.00 90.00 90.00°
Space group F-43m (No. 216)
Inequivalent atoms, fractional coordinates:
1 Pr 0.000 0.000 0.000 (multiplicity 4)
2 Tl 0.000 0.000 0.500 (multiplicity 4)
3 Ni 0.250 0.250 0.750 (multiplicity 4)

Total moment = 0.00 μB/cell
ΔE_f = -0.1925 eV/atom
Density of states at the Fermi level = 18.72 states/eV/cell

=====

Compound: Pr6TlNi
Source: the Alexandria database
Functional: PBE-GGA
Structure: relaxed

Cell: 8.109 10.432 6.536 Å, 90.00 106.29 90.00°
Space group C2/m (No. 12)
Inequivalent atoms, fractional coordinates:
1 Pr 0.114 0.195 0.286 (multiplicity 8)
2 Pr 0.224 0.500 0.142 (multiplicity 4)
3 Tl 0.000 0.500 0.500 (multiplicity 2)
4 Ni 0.000 0.000 0.000 (multiplicity 2)

Total moment = 0.00 μB/cell
ΔE_f = -0.0237 eV/atom
Density of states at the Fermi level = 21.41 states/eV/cell

=====

Compound: Pr6Tl2Ni
Source: the Alexandria database
Functional: PBE-GGA
Structure: relaxed

Cell: 9.0834 9.0834 3.8562 Å, 90.00 90.00 120.00°
Space group P-62m (No. 189)
Inequivalent atoms, fractional coordinates:
1 Pr 0.0000 0.4032 0.0000 (multiplicity 3)
2 Pr 0.0000 0.7643 0.5000 (multiplicity 3)
3 Tl 0.3333 0.6667 0.5000 (multiplicity 2)
4 Ni 0.0000 0.0000 0.0000 (multiplicity 1)

Total moment = 0.00 μB/cell
ΔE_f = -0.2544 eV/atom
Density of states at the Fermi level = 12.12 states/eV/cell

=====

Compound: PrTlNi
Source: the Alexandria database
Functional: PBE-GGA
Structure: relaxed

Cell: 12.309 4.360 5.313 Å, 90.00 100.24 90.00°
Space group C2/m (No. 12)
Inequivalent atoms, fractional coordinates:
1 Pr 0.132 0.000 0.308 (multiplicity 4)
2 Tl 0.087 0.500 0.789 (multiplicity 4)
3 Ni 0.221 0.000 0.858 (multiplicity 4)

Total moment = 0.00 μB/cell
ΔE_f = -0.2985 eV/atom
Density of states at the Fermi level = 7.49 states/eV/cell

=====

Compound: PrTlNi
Source: the Alexandria database
Functional: PBE-GGA
Structure: relaxed

Cell: 4.6299 4.6299 3.8479 Å, 90.00 90.00 120.00°
Space group P-6m2 (No. 187)
Inequivalent atoms, fractional coordinates:
1 Pr 0.0000 0.0000 0.0000 (multiplicity 1)
2 Tl 0.6667 0.3333 0.5000 (multiplicity 1)
3 Ni 0.3333 0.6667 0.5000 (multiplicity 1)

Total moment = 0.00 μB/cell
ΔE_f = -0.2178 eV/atom
Density of states at the Fermi level = 2.13 states/eV/cell

=====

Compound: PrTlNi2
Source: the Alexandria database
Functional: PBE-GGA
Structure: relaxed

Cell: 4.5099 4.5099 13.7564 Å, 90.00 90.00 120.00°
Space group R-3m (No. 166, hexagonal axes)
Inequivalent atoms, fractional coordinates:
1 Pr 0.0000 0.0000 0.0000 (multiplicity 3)
2 Tl 0.0000 0.0000 0.5000 (multiplicity 3)
3 Ni 0.0000 0.0000 0.2055 (multiplicity 6)

Total moment = 0.00 μB/cell
ΔE_f = -0.1612 eV/atom
Density of states at the Fermi level = 7.49 states/eV/cell

=====

Compound: PrTlNi
Source: the Alexandria database
Functional: PBE-GGA
Structure: relaxed

Cell: 7.775 4.492 9.033 Å, 90.00 106.62 90.00°
Space group C2/m (No. 12)
Inequivalent atoms, fractional coordinates:
1 Pr 0.249 0.000 0.247 (multiplicity 4)
2 Tl 0.000 0.000 0.500 (multiplicity 2)
3 Tl 0.000 0.500 0.000 (multiplicity 2)
4 Ni 0.140 0.500 0.421 (multiplicity 4)

Total moment = 0.00 μB/cell
ΔE_f = -0.2061 eV/atom
Density of states at the Fermi level = 10.34 states/eV/cell

=====

Compound: Pr6TlNi6
Source: the Alexandria database
Functional: PBE-GGA
Structure: relaxed

Cell: 5.725 9.928 10.165 Å, 90.00 90.00 90.00°
Space group Immm (No. 71)
Inequivalent atoms, fractional coordinates:
1 Pr 0.000 0.000 0.194 (multiplicity 4)
2 Pr 0.000 0.328 0.500 (multiplicity 4)
3 Pr 0.000 0.331 0.000 (multiplicity 4)
4 Tl 0.000 0.000 0.500 (multiplicity 2)
5 Ni 0.000 0.500 0.255 (multiplicity 4)
6 Ni 0.250 0.250 0.250 (multiplicity 8)

Total moment = 0.00 μB/cell
ΔE_f = -0.0786 eV/atom
Density of states at the Fermi level = 32.43 states/eV/cell

=====

Compound: Pr12Tl5Ni2
Source: the Alexandria database
Functional: PBE-GGA
Structure: relaxed

Cell: 19.373 7.408 9.397 Å, 90.00 116.69 90.00°
Space group C2/m (No. 12)
Inequivalent atoms, fractional coordinates:
1 Pr 0.001 0.000 0.229 (multiplicity 4)
2 Pr 0.017 0.500 0.341 (multiplicity 4)
3 Pr 0.153 0.251 0.160 (multiplicity 8)
4 Pr 0.154 0.238 0.664 (multiplicity 8)
5 Tl 0.000 0.500 0.000 (multiplicity 2)
6 Tl 0.247 0.500 0.502 (multiplicity 4)
7 Tl 0.248 0.000 0.004 (multiplicity 4)
8 Ni 0.000 0.165 0.500 (multiplicity 4)

Total moment = 1.31 μB/cell
ΔE_f = -0.1843 eV/atom
Density of states at the Fermi level = 43.20 states/eV/cell

=====

Compound: Pr3TlNi
Source: the Alexandria database
Functional: PBE-GGA
Structure: relaxed

Cell: 5.410 5.410 5.410 Å, 90.00 90.00 90.00°
Space group Pm-3m (No. 221)
Inequivalent atoms, fractional coordinates:
1 Pr 0.000 0.000 0.500 (multiplicity 3)
2 Tl 0.500 0.500 0.500 (multiplicity 1)
3 Ni 0.000 0.000 0.000 (multiplicity 1)

Polymorph energy (0 for the lowest one) = 0.106 eV per atom
Total moment = 0.00 μB/cell
ΔE_f = -0.1163 eV/atom
Density of states at the Fermi level = 8.13 states/eV/cell

=====

Compound: Pr5TlNi2
Source: the Alexandria database
Functional: PBE-GGA
Structure: relaxed

Cell: 8.022 8.022 13.824 Å, 90.00 90.00 90.00°
Space group I4/mcm (No. 140)
Inequivalent atoms, fractional coordinates:
1 Pr 0.000 0.000 0.000 (multiplicity 4)
2 Pr 0.159 0.341 0.136 (multiplicity 16)
3 Tl 0.000 0.000 0.250 (multiplicity 4)
4 Ni 0.123 0.377 0.500 (multiplicity 8)

Total moment = 0.00 μB/cell
ΔE_f = -0.2409 eV/atom
Density of states at the Fermi level = 32.66 states/eV/cell

=====

Compound: Pr3TlNi
Source: the Alexandria database
Functional: PBE-GGA
Structure: relaxed

Cell: 7.8757 7.8757 5.4262 Å, 90.00 90.00 120.00°
Space group P6_3/mmc (No. 194)
Inequivalent atoms, fractional coordinates:
1 Pr 0.1816 0.3632 0.2500 (multiplicity 6)
2 Tl 0.3333 0.6667 0.7500 (multiplicity 2)
3 Ni 0.0000 0.0000 0.0000 (multiplicity 2)

Polymorph energy (0 for the lowest one) = 0.000 eV per atom
Total moment = 0.00 μB/cell
ΔE_f = -0.2227 eV/atom
Density of states at the Fermi level = 10.84 states/eV/cell

=====

Compound: PrYTlNi
Source: the Alexandria database
Functional: PBE-GGA
Structure: relaxed

Cell: 7.399 7.399 7.399 Å, 90.00 90.00 90.00°
Space group F-43m (No. 216)
Inequivalent atoms, fractional coordinates:
1 Pr 0.000 0.000 0.000 (multiplicity 4)
2 Y 0.000 0.000 0.500 (multiplicity 4)
3 Tl 0.250 0.250 0.750 (multiplicity 4)
4 Ni 0.250 0.250 0.250 (multiplicity 4)

Total moment = 0.00 μB/cell
ΔE_f = -0.2036 eV/atom
Density of states at the Fermi level = 17.95 states/eV/cell

=====

Compound: PrTlZnNi
Source: the Alexandria database
Functional: PBE-GGA
Structure: relaxed

Cell: 6.895 6.895 6.895 Å, 90.00 90.00 90.00°
Space group F-43m (No. 216)
Inequivalent atoms, fractional coordinates:
1 Pr 0.000 0.000 0.000 (multiplicity 4)
2 Tl 0.000 0.000 0.500 (multiplicity 4)
3 Zn 0.250 0.250 0.750 (multiplicity 4)
4 Ni 0.250 0.250 0.250 (multiplicity 4)

Total moment = 0.00 μB/cell
ΔE_f = -0.1530 eV/atom
Density of states at the Fermi level = 14.13 states/eV/cell

=====

Compound: Pr3TmNi
Source: the Alexandria database
Functional: PBE-GGA
Structure: relaxed

Cell: 5.496 5.496 5.496 Å, 90.00 90.00 90.00°
Space group Pm-3m (No. 221)
Inequivalent atoms, fractional coordinates:
1 Pr 0.000 0.000 0.500 (multiplicity 3)
2 Tm 0.500 0.500 0.500 (multiplicity 1)
3 Ni 0.000 0.000 0.000 (multiplicity 1)

Total moment = 0.46 μB/cell
ΔE_f = 0.0895 eV/atom
Density of states at the Fermi level = 11.98 states/eV/cell

=====

Compound: PrTmNi
Source: the Alexandria database
Functional: PBE-GGA
Structure: relaxed

Cell: 4.5250 4.5250 4.2515 Å, 90.00 90.00 120.00°
Space group P3m1 (No. 156)
Inequivalent atoms, fractional coordinates:
1 Pr 0.0000 0.0000 0.0000 (multiplicity 1)
2 Tm 0.6667 0.3333 0.5076 (multiplicity 1)
3 Ni 0.3333 0.6667 0.3496 (multiplicity 1)

Polymorph energy (0 for the lowest one) = 0.180 eV per atom
Total moment = 0.00 μB/cell
ΔE_f = -0.0665 eV/atom
Density of states at the Fermi level = 2.59 states/eV/cell

=====

Compound: PrTm2Ni9
Source: the Alexandria database
Functional: PBE-GGA
Structure: relaxed

Cell: 4.9921 4.9921 24.2103 Å, 90.00 90.00 120.00°
Space group R-3m (No. 166, hexagonal axes)
Inequivalent atoms, fractional coordinates:
1 Pr 0.0000 0.0000 0.0000 (multiplicity 3)
2 Tm 0.0000 0.0000 0.1403 (multiplicity 6)
3 Ni 0.0000 0.0000 0.3331 (multiplicity 6)
4 Ni 0.0000 0.0000 0.5000 (multiplicity 3)
5 Ni 0.0019 0.5009 0.9160 (multiplicity 18)

Total moment = 1.57 μB/cell
ΔE_f = -0.4050 eV/atom
Density of states at the Fermi level = 46.95 states/eV/cell